(1)
A plane-wave DFT calculation with SCAN was carried out for K2NaAs at its PBEsol-relaxed geometry.

The structure in POSCAR format:
```
K2NaAs
1.0
-0.196 -5.278 -0.356
1.944 2.853 -4.013
9.552 -0.637 4.174
K As Na
4 2 2
Cartesian
2.040 0.089 -2.440
9.260 -3.150 2.245
6.103 -2.940 0.866
5.197 -0.121 -1.061
8.395 -0.335 0.337
2.905 -2.727 -0.532
7.164 -0.478 3.131
2.388 -0.159 1.044
```

Output
Formation energy ... -0.4879 eV/atom
Total energy ... -10.754 eV per atom

=====

(2)
A plane-wave DFT calculation with SCAN was carried out for KNaAs6Pb8O24 at its PBEsol-relaxed geometry.

The structure in POSCAR format:
```
KNaAs6Pb8O24
1.0
-5.318 -0.585 5.085
6.955 -1.649 7.084
-2.980 9.395 -2.036
Pb K As O Na
8 1 6 24 1
Cartesian
-2.257 5.428 3.480
1.321 -0.099 4.040
-2.200 1.990 6.049
4.089 1.491 7.117
-5.214 -0.574 4.986
0.407 -0.848 8.448
0.632 3.624 9.198
1.545 4.267 4.776
-2.550 -0.281 2.438
-4.670 2.794 3.585
-0.329 2.414 2.544
0.582 7.715 4.106
-4.798 7.879 4.036
-1.669 5.132 6.992
-3.144 6.583 0.079
-5.192 6.208 3.867
-0.465 7.051 2.929
-0.279 4.106 2.785
2.735 -0.858 7.391
-2.504 3.814 7.717
2.146 4.644 7.408
-1.324 1.990 1.194
-0.603 5.844 8.119
4.001 4.711 5.465
-1.967 -1.046 7.720
-0.854 4.450 5.642
-2.804 6.272 6.371
-3.788 3.253 4.995
-2.139 5.557 1.007
-2.801 -0.527 5.087
1.218 1.732 2.213
1.619 6.513 4.792
-2.798 8.252 0.373
2.308 -0.545 10.427
0.664 1.706 10.788
4.610 -0.468 5.507
-3.995 3.665 2.266
-3.124 8.038 3.681
-0.844 1.552 3.926
0.298 5.710 1.037
```

Output
Formation energy (no corrections) ... -1.49 eV/atom
Total energy ... -23.728 eV per atom

=====

(3)
A plane-wave DFT calculation with SCAN was carried out for KNaAs2Se at its PBEsol-relaxed geometry.

The structure in POSCAR format:
```
KNaAs2Se
1.0
-5.308 -0.145 1.174
1.156 -1.791 5.003
0.260 5.271 1.827
K Na Se As
1 1 1 2
Cartesian
0.000 0.000 0.000
-1.946 1.668 4.002
0.130 2.636 0.913
-2.654 -0.072 0.587
0.578 -0.895 2.501
```

Output
Formation energy (no corrections) ... 0.88 eV/atom
Total energy ... -13.722 eV per atom

=====

(4)
A plane-wave DFT calculation with SCAN was carried out for K3Na2SnAs3 at its PBEsol-relaxed geometry.

The structure in POSCAR format:
```
K3Na2SnAs3
1.0
6.746 0.000 0.000
-3.373 10.134 0.000
0.000 0.000 15.347
K Na As Sn
12 8 12 4
Cartesian
4.988 0.000 10.402
1.757 0.000 4.944
1.803 6.756 12.654
1.616 0.000 12.618
-1.570 6.756 10.365
5.176 3.378 12.654
5.130 0.000 2.729
1.570 3.378 2.692
1.570 6.756 4.981
1.803 3.378 10.365
4.943 3.378 4.981
-1.803 6.756 2.692
3.373 5.170 0.000
0.000 1.646 0.000
0.000 5.170 7.673
0.000 4.964 0.000
3.373 4.964 7.673
3.373 8.488 0.000
3.373 1.646 7.673
0.000 8.488 7.673
-1.506 6.907 13.707
5.355 0.000 6.200
1.867 6.907 9.313
1.506 3.227 6.033
4.879 3.227 1.640
4.763 0.000 13.874
1.983 0.000 1.473
1.506 6.907 1.640
1.390 0.000 9.146
5.240 3.227 9.313
1.867 3.227 13.707
-1.867 6.907 6.033
0.000 1.802 7.673
0.000 8.332 0.000
3.373 8.332 7.673
3.373 1.802 0.000
```

Output
Formation energy ... -0.5768 eV/atom
Total energy ... -15.011 eV per atom

=====

Which value of total energy does entry 2 give?
-23.728 eV per atom

=====

The highest total energy belongs to which entry?
K2NaAs

=====

Which of these has the highest total energy?
K2NaAs